[1]
Density functional theory data (GGA-PBE) for an optimized crystal structure of TmScRuPt.

Values from the calculation:
Theoretical density   11550 kg/m3
Symmetry   P4mm
Energy of formation   -0.949 eV per atom
ΔE to the lowest computed polymorph   0.0 meV/atom
VASP energy   -29.91 eV per cell

a b c (Å): 3.360 3.360 6.495
angles (deg): 90.00 90.00 90.00
Fractional coordinates of all 4 atoms:
Sc (0.500, 0.500, 0.099)
Pt (0.000, 0.000, 0.347)
Tm (0.500, 0.500, 0.612)
Ru (0.000, 0.000, 0.870)


[2]
Density functional theory data (GGA-PBE) for an optimized crystal structure of TmScRuPt.

Values from the calculation:
Theoretical density   11548 kg/m3
Symmetry   F-43m
Energy of formation   -0.899 eV per atom
ΔE to the lowest computed polymorph   49.4 meV/atom
VASP energy   -29.72 eV per cell

a b c (Å): 4.699 4.699 4.699
angles (deg): 60.00 60.00 60.00
Fractional coordinates of all 4 atoms:
Ru (0.250, 0.250, 0.250)
Pt (0.750, 0.750, 0.750)
Tm (0.000, 0.000, 0.000)
Sc (0.500, 0.500, 0.500)


[3]
Density functional theory data (GGA-PBE) for an optimized crystal structure of ScURuPt.

Values from the calculation:
Theoretical density   12731 kg/m3
Symmetry   F-43m
Energy of formation   -0.566 eV per atom
VASP energy   -35.20 eV per cell

a b c (Å): 4.745 4.745 4.745
angles (deg): 60.00 60.00 60.00
Fractional coordinates of all 4 atoms:
U (0.000, 0.000, 0.000)
Sc (0.500, 0.500, 0.500)
Pt (0.250, 0.250, 0.250)
Ru (0.750, 0.750, 0.750)


Question: Among the records above, which one has the highest theoretical density?
Answer: ScURuPt


What did the third record say?
Density functional theory data (GGA-PBE) for an optimized crystal structure of ScURuPt.

Values from the calculation:
Theoretical density   12731 kg/m3
Symmetry   F-43m
Energy of formation   -0.566 eV per atom
VASP energy   -35.20 eV per cell

a b c (Å): 4.745 4.745 4.745
angles (deg): 60.00 60.00 60.00
Fractional coordinates of all 4 atoms:
U (0.000, 0.000, 0.000)
Sc (0.500, 0.500, 0.500)
Pt (0.250, 0.250, 0.250)
Ru (0.750, 0.750, 0.750)